A plane-wave DFT calculation with PBE-GGA was carried out for a geometry-optimized TaSi structure.

* VASP energy: -8.395 eV per atom
* ΔE_f (raw): 23.48 kJ per mole of atoms

abc: 2.936 2.936 8.769
angles: 90.00 90.00 120.00
Fractional positions:
Ta 0.667 0.333 0.770
Ta 0.000 0.000 0.480
Si 0.000 0.000 0.015
Si 0.667 0.333 0.235

=====

A plane-wave DFT calculation with PBE-GGA was carried out for a geometry-optimized Nd3Al4Hg2 structure.

* VASP energy: -3.782 eV per atom
* energy relative to the elements: -463 meV per atom

abc: 4.668 6.054 8.919
angles: 109.79 90.00 112.68
Fractional positions:
Al 0.045 0.090 0.382
Al 0.265 0.531 0.936
Al 0.735 0.469 0.064
Al 0.955 0.910 0.618
Nd 0.334 0.668 0.333
Nd 0.000 0.000 0.000
Nd 0.666 0.332 0.667
Hg 0.386 0.773 0.721
Hg 0.614 0.227 0.279

=====

A plane-wave DFT calculation with PBE-GGA was carried out for a geometry-optimized Li5Tl3I12 structure.

* VASP energy: -2.398 eV per atom
* ΔE_f (raw): -61.19 kJ per mole of atoms

abc: 15.768 15.768 15.768
angles: 109.47 109.47 109.47
Last column: magnetic moment on the atom in μB.
Fractional positions:
Li 0.500 0.500 0.500  0.00
Li 0.500 0.000 0.500  0.00
Li 0.625 0.750 0.875  0.00
Li 0.875 0.250 0.625  0.00
Li 0.000 0.500 0.500  0.00
Li 0.875 0.625 0.750  0.00
Li 0.500 0.500 0.000  0.00
Li 0.750 0.625 0.375  0.00
Li 0.250 0.375 0.625  0.00
Li 0.375 0.250 0.125  0.00
Li 0.000 0.500 0.000  0.00
Li 0.625 0.875 0.250  0.00
Li 0.125 0.750 0.375  0.00
Li 0.500 0.000 0.000  0.00
Li 0.250 0.875 0.125  0.00
Li 0.375 0.125 0.750  0.00
Li 0.000 0.000 0.500  0.00
Li 0.000 0.000 0.000  0.00
Li 0.750 0.125 0.875  0.00
Li 0.125 0.375 0.250  0.00
Tl 0.125 0.875 0.750  0.04
Tl 0.250 0.125 0.375  0.04
Tl 0.625 0.375 0.750  0.04
Tl 0.750 0.875 0.625  0.04
Tl 0.125 0.250 0.875  0.04
Tl 0.375 0.750 0.625  0.04
Tl 0.375 0.625 0.250  0.04
Tl 0.875 0.750 0.125  0.04
Tl 0.750 0.375 0.125  0.04
Tl 0.625 0.250 0.375  0.04
Tl 0.250 0.625 0.875  0.04
Tl 0.875 0.125 0.250  0.04
I 0.107 0.399 0.083  0.19
I 0.399 0.107 0.583  0.19
I 0.393 0.975 0.792  0.19
I 0.583 0.607 0.399  0.19
I 0.792 0.316 0.899  0.19
I 0.525 0.316 0.917  0.19
I 0.708 0.107 0.025  0.19
I 0.899 0.083 0.607  0.19
I 0.684 0.208 0.601  0.19
I 0.816 0.899 0.292  0.19
I 0.917 0.816 0.525  0.19
I 0.601 0.893 0.417  0.19
I 0.083 0.899 0.107  0.19
I 0.292 0.399 0.816  0.19
I 0.083 0.184 0.475  0.19
I 0.899 0.816 0.792  0.19
I 0.975 0.393 0.292  0.19
I 0.601 0.708 0.684  0.19
I 0.208 0.684 0.101  0.19
I 0.607 0.583 0.899  0.19
I 0.792 0.475 0.393  0.19
I 0.684 0.475 0.583  0.19
I 0.893 0.601 0.917  0.19
I 0.025 0.607 0.708  0.19
I 0.475 0.792 0.893  0.19
I 0.417 0.393 0.601  0.19
I 0.475 0.684 0.083  0.19
I 0.101 0.184 0.208  0.19
I 0.316 0.792 0.399  0.19
I 0.184 0.101 0.708  0.19
I 0.607 0.025 0.208  0.19
I 0.101 0.917 0.393  0.19
I 0.975 0.583 0.184  0.19
I 0.399 0.292 0.316  0.19
I 0.393 0.417 0.101  0.19
I 0.292 0.893 0.975  0.19
I 0.525 0.208 0.107  0.19
I 0.816 0.917 0.025  0.19
I 0.208 0.525 0.607  0.19
I 0.583 0.975 0.684  0.19
I 0.316 0.525 0.417  0.19
I 0.184 0.083 0.975  0.19
I 0.417 0.025 0.316  0.19
I 0.107 0.708 0.525  0.19
I 0.893 0.292 0.475  0.19
I 0.917 0.101 0.893  0.19
I 0.708 0.601 0.184  0.19
I 0.025 0.417 0.816  0.19

=====

A plane-wave DFT calculation with PBE-GGA was carried out for a geometry-optimized SrCr2Sn2 structure.

* VASP energy: -5.542 eV per atom
* energy relative to the elements: 245 meV per atom
* offset from the most stable computed form: 13.70 kJ per mole of atoms

abc: 4.141 4.141 7.052
angles: 72.93 72.93 90.00
Fractional positions:
Sn 0.622 0.622 0.757
Sn 0.378 0.378 0.243
Cr 0.250 0.750 0.500
Cr 0.750 0.250 0.500
Sr 0.000 0.000 0.000

=====

A plane-wave DFT calculation with PBE-GGA was carried out for a geometry-optimized ScFe2Te structure.

* VASP energy: -6.223 eV per atom
* ΔE_f (raw): 36.35 kJ per mole of atoms

abc: 8.190 8.190 8.190
angles: 22.71 22.71 22.71
Last column: magnetic moment on the atom in μB.
Fractional positions:
Sc 0.250 0.250 0.250  -0.38
Fe 0.497 0.497 0.497  2.17
Fe 0.003 0.003 0.003  2.17
Te 0.750 0.750 0.750  -0.06

=====

A plane-wave DFT calculation with PBE-GGA was carried out for a geometry-optimized Zr2InSe4 structure.

* VASP energy: -5.973 eV per atom
* ΔE_f (raw): -110.76 kJ per mole of atoms
* offset from the most stable computed form: 0.00 kJ per mole of atoms

abc: 3.765 6.535 8.174
angles: 91.74 90.00 90.00
Fractional positions:
In 0.000 0.000 0.500
Se 0.000 0.327 0.800
Se 0.000 0.673 0.200
Se 0.500 0.175 0.202
Se 0.500 0.825 0.798
Zr 0.500 0.500 0.000
Zr 0.000 0.000 0.000

=====

A plane-wave DFT calculation with PBE-GGA was carried out for a geometry-optimized Co5Pb3I12 structure.

* VASP energy: -3.331 eV per atom
* ΔE_f (raw): -6.60 kJ per mole of atoms

abc: 15.083 15.083 15.083
angles: 109.47 109.47 109.47
Last column: magnetic moment on the atom in μB.
Fractional positions:
I 0.914 0.093 0.615  0.07
I 0.522 0.320 0.907  0.07
I 0.593 0.615 0.414  0.07
I 0.086 0.907 0.385  0.07
I 0.202 0.522 0.615  0.07
I 0.702 0.586 0.180  0.07
I 0.298 0.414 0.820  0.07
I 0.115 0.702 0.522  0.07
I 0.522 0.202 0.115  0.07
I 0.320 0.798 0.414  0.07
I 0.820 0.907 0.022  0.07
I 0.022 0.615 0.702  0.07
I 0.414 0.298 0.320  0.07
I 0.615 0.022 0.202  0.07
I 0.298 0.885 0.978  0.07
I 0.978 0.385 0.298  0.07
I 0.914 0.820 0.798  0.07
I 0.180 0.093 0.978  0.07
I 0.407 0.385 0.586  0.07
I 0.680 0.202 0.586  0.07
I 0.022 0.407 0.820  0.07
I 0.885 0.298 0.478  0.07
I 0.798 0.478 0.385  0.07
I 0.115 0.414 0.093  0.07
I 0.478 0.798 0.885  0.07
I 0.907 0.086 0.885  0.07
I 0.093 0.180 0.478  0.07
I 0.680 0.478 0.593  0.07
I 0.702 0.115 0.022  0.07
I 0.180 0.086 0.702  0.07
I 0.907 0.820 0.522  0.07
I 0.586 0.702 0.680  0.07
I 0.320 0.522 0.407  0.07
I 0.385 0.978 0.798  0.07
I 0.202 0.680 0.086  0.07
I 0.586 0.885 0.407  0.07
I 0.407 0.022 0.320  0.07
I 0.593 0.978 0.680  0.07
I 0.978 0.593 0.180  0.07
I 0.798 0.320 0.914  0.07
I 0.820 0.914 0.298  0.07
I 0.093 0.914 0.115  0.07
I 0.385 0.407 0.086  0.07
I 0.615 0.593 0.914  0.07
I 0.478 0.680 0.093  0.07
I 0.086 0.180 0.202  0.07
I 0.885 0.586 0.907  0.07
I 0.414 0.115 0.593  0.07
Co 0.500 0.000 0.000  1.93
Co 0.375 0.125 0.750  1.94
Co 0.250 0.875 0.125  1.94
Co 0.000 0.500 0.500  1.93
Co 0.875 0.625 0.750  1.94
Co 0.250 0.375 0.625  1.94
Co 0.625 0.875 0.250  1.94
Co 0.875 0.250 0.625  1.94
Co 0.750 0.125 0.875  1.94
Co 0.375 0.250 0.125  1.94
Co 0.125 0.375 0.250  1.94
Co 0.000 0.500 0.000  1.93
Co 0.625 0.750 0.875  1.94
Co 0.000 0.000 0.500  1.93
Co 0.500 0.000 0.500  1.93
Co 0.500 0.500 0.500  1.93
Co 0.500 0.500 0.000  1.93
Co 0.750 0.625 0.375  1.94
Co 0.125 0.750 0.375  1.94
Co 0.000 0.000 0.000  1.93
Pb 0.250 0.125 0.375  -0.03
Pb 0.875 0.750 0.125  -0.03
Pb 0.750 0.875 0.625  -0.03
Pb 0.375 0.750 0.625  -0.03
Pb 0.125 0.250 0.875  -0.03
Pb 0.125 0.875 0.750  -0.03
Pb 0.625 0.375 0.750  -0.03
Pb 0.625 0.250 0.375  -0.03
Pb 0.375 0.625 0.250  -0.03
Pb 0.250 0.625 0.875  -0.03
Pb 0.750 0.375 0.125  -0.03
Pb 0.875 0.125 0.250  -0.03

=====

A plane-wave DFT calculation with PBE-GGA was carried out for a geometry-optimized HfH3Ru structure.

* VASP energy: -6.175 eV per atom

abc: 3.114 4.730 5.897
angles: 90.00 105.31 90.00
Fractional positions:
H 0.188 0.986 0.378
H 0.565 0.000 0.000
H 0.190 0.514 0.378
H 0.435 0.500 0.000
H 0.810 0.014 0.622
H 0.812 0.486 0.622
Hf 0.346 0.750 0.692
Hf 0.654 0.250 0.308
Ru 0.932 0.250 0.865
Ru 0.068 0.750 0.135

=====

A plane-wave DFT calculation with PBE-GGA was carried out for a geometry-optimized TlTcOs4 structure.

* VASP energy: -8.649 eV per atom
* energy relative to the elements: 959 meV per atom

abc: 5.196 5.196 5.196
angles: 60.00 60.00 60.00
Fractional positions:
Os 0.375 0.375 0.874
Os 0.375 0.874 0.375
Os 0.375 0.375 0.375
Os 0.874 0.375 0.375
Tc 0.750 0.750 0.750
Tl 0.000 0.000 0.000

=====

A plane-wave DFT calculation with PBE-GGA was carried out for a geometry-optimized MnCrPtCl2 structure.

* VASP energy: -5.002 eV per atom
* ΔE_f (raw): 67.87 kJ per mole of atoms

abc: 4.971 5.023 4.971
angles: 90.00 90.00 90.00
Last column: magnetic moment on the atom in μB.
Fractional positions:
Cl 0.000 0.000 0.500  0.07
Cl 0.500 0.000 0.000  0.04
Cr 0.500 0.500 0.500  4.33
Pt 0.000 0.000 0.000  0.17
Mn 0.000 0.500 0.000  4.25

=====

A plane-wave DFT calculation with PBE-GGA was carried out for a geometry-optimized LaTbTe2Cl structure.

* VASP energy: -5.241 eV per atom
* ΔE_f (raw): -164.39 kJ per mole of atoms

abc: 4.411 4.411 15.090
angles: 90.00 90.00 90.00
Fractional positions:
La 0.500 0.000 0.636
La 0.000 0.500 0.364
Tb 0.000 0.500 0.914
Tb 0.500 0.000 0.086
Te 0.500 0.000 0.880
Te 0.000 0.500 0.120
Te 0.500 0.000 0.294
Te 0.000 0.500 0.706
Cl 0.500 0.500 0.500
Cl 0.000 0.000 0.500

=====

A plane-wave DFT calculation with PBE-GGA was carried out for a geometry-optimized NaHg6Au3 structure.

* VASP energy: -1.322 eV per atom
* energy relative to the elements: -26 meV per atom

abc: 4.094 10.504 11.522
angles: 105.01 90.00 90.00
Fractional positions:
Hg 0.750 0.105 0.427
Hg 0.250 0.266 0.208
Hg 0.250 0.545 0.379
Hg 0.250 0.895 0.573
Hg 0.750 0.448 0.106
Hg 0.250 0.552 0.894
Hg 0.250 0.197 0.660
Hg 0.750 0.789 0.062
Hg 0.750 0.734 0.792
Hg 0.750 0.803 0.340
Hg 0.250 0.211 0.938
Hg 0.750 0.455 0.621
Na 0.750 0.021 0.774
Na 0.250 0.979 0.226
Au 0.750 0.693 0.541
Au 0.750 0.346 0.831
Au 0.750 0.086 0.065
Au 0.250 0.914 0.935
Au 0.250 0.654 0.169
Au 0.250 0.307 0.459

=====

A plane-wave DFT calculation with PBE-GGA was carried out for a geometry-optimized Ac2ScSnPt6 structure.

* VASP energy: -5.883 eV per atom
* energy relative to the elements: -403 meV per atom

abc: 7.064 7.064 7.064
angles: 60.00 60.00 90.00
Fractional positions:
Pt 0.747 0.747 0.000
Pt 0.253 0.253 0.000
Pt 0.747 0.253 0.000
Pt 0.747 0.747 0.507
Pt 0.253 0.253 0.493
Pt 0.253 0.747 0.000
Sn 0.000 0.000 0.000
Ac 0.750 0.250 0.500
Ac 0.250 0.750 0.500
Sc 0.500 0.500 0.000

=====

A plane-wave DFT calculation with PBE-GGA was carried out for a geometry-optimized ErPaZn17 structure.

* VASP energy: -2.042 eV per atom
* energy relative to the elements: -162 meV per atom

abc: 6.779 6.779 6.779
angles: 82.81 82.81 82.81
Last column: magnetic moment on the atom in μB.
Fractional positions:
Zn 0.354 0.354 0.837  0.01
Zn 0.648 0.648 0.161  0.01
Zn 0.100 0.100 0.100  0.00
Zn 0.001 0.702 0.297  0.01
Zn 0.837 0.354 0.354  0.01
Zn 0.702 0.297 0.001  0.01
Zn 0.648 0.161 0.648  0.01
Zn 0.297 0.702 0.001  0.01
Zn 0.702 0.001 0.297  0.01
Zn 0.001 0.297 0.702  0.01
Zn 0.900 0.900 0.900  0.00
Zn 0.998 0.998 0.501  0.00
Zn 0.998 0.501 0.998  0.00
Zn 0.297 0.001 0.702  0.01
Zn 0.501 0.998 0.998  0.00
Zn 0.161 0.648 0.648  0.01
Zn 0.354 0.837 0.354  0.01
Pa 0.664 0.664 0.664  0.76
Er 0.337 0.337 0.337  0.01

=====

A plane-wave DFT calculation with PBE-GGA was carried out for a geometry-optimized TlIn6 structure.

* VASP energy: -2.381 eV per atom
* energy relative to the elements: 304 meV per atom
* offset from the most stable computed form: 26.66 kJ per mole of atoms

abc: 7.074 7.074 7.074
angles: 109.47 109.47 109.47
Fractional positions:
In 0.750 0.500 0.250
In 0.750 0.250 0.500
In 0.250 0.750 0.500
In 0.500 0.750 0.250
In 0.250 0.500 0.750
In 0.500 0.250 0.750
Tl 0.000 0.000 0.000

=====

A plane-wave DFT calculation with PBE-GGA was carried out for a geometry-optimized SrGa structure.

* VASP energy: -2.517 eV per atom
* energy relative to the elements: -163 meV per atom

abc: 11.324 11.324 4.253
angles: 90.00 90.00 90.00
Fractional positions:
Ga 0.919 0.591 0.500
Ga 0.909 0.419 0.000
Ga 0.091 0.581 0.000
Ga 0.419 0.091 0.000
Ga 0.409 0.919 0.500
Ga 0.591 0.081 0.500
Ga 0.581 0.909 0.000
Ga 0.081 0.409 0.500
Sr 0.205 0.882 0.000
Sr 0.882 0.795 0.000
Sr 0.118 0.205 0.000
Sr 0.382 0.295 0.500
Sr 0.295 0.618 0.500
Sr 0.795 0.118 0.000
Sr 0.618 0.705 0.500
Sr 0.705 0.382 0.500

=====

A plane-wave DFT calculation with PBE-GGA was carried out for a geometry-optimized Ta2TcP structure.

* VASP energy: -9.806 eV per atom
* energy relative to the elements: 65 meV per atom

abc: 4.449 4.449 4.449
angles: 60.00 60.00 60.00
Fractional positions:
P 0.500 0.500 0.500
Tc 0.250 0.250 0.250
Ta 0.000 0.000 0.000
Ta 0.750 0.750 0.750

=====

It is found that the V values, taken in the order of the records, are 65 216 3018 110 72 201 2641 84 99 124 294 479 249 305 272 545 62 Å³ per cell.